No. 1
Below is a PBEsol-optimized structure of BaMg3Ni, with properties calculated at the SCAN level.

a b c (Å): 5.011 5.011 5.011
angles (deg): 90.00 90.00 90.00
Fractional coordinates of all 5 atoms:
Ba 0.000 0.000 0.000
Mg 0.000 0.500 0.500
Mg 0.500 0.000 0.500
Mg 0.500 0.500 0.000
Ni 0.500 0.500 0.500

crystal system: cubic
raw total energy: -14.199 eV/atom
energy of formation from the pure elements: -1.61 kcal/mol of atoms

No. 2
Below is a PBEsol-optimized structure of BaMgZrNi2, with properties calculated at the SCAN level.

a b c (Å): 4.752 4.752 5.323
angles (deg): 90.00 90.00 90.00
Fractional coordinates of all 5 atoms:
Ba 0.000 0.000 0.000
Mg 0.000 0.000 0.500
Zr 0.500 0.500 0.500
Ni 0.000 0.500 0.000
Ni 0.500 0.000 0.000

crystal system: tetragonal
raw total energy: -19.848 eV/atom
energy of formation from the pure elements: 38.41 kcal/mol of atoms

No. 3
Below is a PBEsol-optimized structure of Ba2MgO, with properties calculated at the SCAN level.

a b c (Å): 5.488 5.488 5.488
angles (deg): 60.00 60.00 60.00
Fractional coordinates of all 4 atoms:
Ba 0.250 0.250 0.250
Ba 0.750 0.750 0.750
Mg 0.000 0.000 0.000
O 0.500 0.500 0.500

crystal system: cubic
raw total energy: -22.850 eV/atom
ΔE_f (raw): -274 meV/atom

No. 4
Below is a PBEsol-optimized structure of Ba2MgP2O8, with properties calculated at the SCAN level.

a b c (Å): 5.314 8.837 16.979
angles (deg): 90.00 107.74 90.00
Fractional coordinates of all 52 atoms:
Ba 0.027 0.158 0.271
Ba 0.027 0.342 0.771
Ba 0.178 0.705 0.980
Ba 0.178 0.795 0.480
Ba 0.822 0.205 0.520
Ba 0.822 0.295 0.020
Ba 0.973 0.658 0.229
Ba 0.973 0.842 0.729
Mg 0.408 0.013 0.134
Mg 0.408 0.487 0.634
Mg 0.592 0.513 0.366
Mg 0.592 0.987 0.866
P 0.188 0.088 0.922
P 0.188 0.412 0.422
P 0.420 0.109 0.666
P 0.420 0.391 0.166
P 0.580 0.609 0.834
P 0.580 0.891 0.334
P 0.812 0.588 0.578
P 0.812 0.912 0.078
O 0.101 0.640 0.623
O 0.101 0.860 0.123
O 0.232 0.084 0.015
O 0.232 0.416 0.515
O 0.233 0.568 0.386
O 0.233 0.932 0.886
O 0.242 0.027 0.588
O 0.242 0.473 0.088
O 0.288 0.611 0.834
O 0.288 0.889 0.334
O 0.312 0.227 0.167
O 0.312 0.273 0.667
O 0.385 0.197 0.900
O 0.385 0.303 0.400
O 0.397 0.026 0.744
O 0.397 0.474 0.244
O 0.603 0.526 0.756
O 0.603 0.974 0.256
O 0.615 0.697 0.600
O 0.615 0.803 0.100
O 0.688 0.727 0.333
O 0.688 0.773 0.833
O 0.712 0.111 0.666
O 0.712 0.389 0.166
O 0.758 0.527 0.912
O 0.758 0.973 0.412
O 0.767 0.068 0.114
O 0.767 0.432 0.614
O 0.768 0.584 0.485
O 0.768 0.916 0.985
O 0.899 0.140 0.877
O 0.899 0.360 0.377

crystal system: monoclinic
raw total energy: -14.998 eV/atom
ΔE_f (raw): -3096 meV/atom

No. 5
Below is a PBEsol-optimized structure of Ba3MgRu2O9, with properties calculated at the SCAN level.

a b c (Å): 5.756 5.756 13.900
angles (deg): 90.00 90.00 120.00
Fractional coordinates of all 30 atoms:
Ba 0.000 0.000 0.250
Ba 0.000 0.000 0.750
Ba 0.333 0.667 0.089
Ba 0.333 0.667 0.411
Ba 0.667 0.333 0.589
Ba 0.667 0.333 0.911
Mg 0.000 0.000 0.000
Mg 0.000 0.000 0.500
Ru 0.333 0.667 0.661
Ru 0.333 0.667 0.839
Ru 0.667 0.333 0.161
Ru 0.667 0.333 0.339
O 0.015 0.507 0.750
O 0.173 0.346 0.585
O 0.173 0.346 0.915
O 0.173 0.827 0.585
O 0.173 0.827 0.915
O 0.346 0.173 0.085
O 0.346 0.173 0.415
O 0.493 0.507 0.750
O 0.493 0.985 0.750
O 0.507 0.015 0.250
O 0.507 0.493 0.250
O 0.654 0.827 0.585
O 0.654 0.827 0.915
O 0.827 0.173 0.085
O 0.827 0.173 0.415
O 0.827 0.654 0.085
O 0.827 0.654 0.415
O 0.985 0.493 0.250

crystal system: hexagonal
raw total energy: -18.926 eV/atom
ΔE_f (raw): -2302 meV/atom

No. 6
Below is a PBEsol-optimized structure of Ba3MgSb2O9, with properties calculated at the SCAN level.

a b c (Å): 5.853 5.853 14.476
angles (deg): 90.00 90.00 120.00
Fractional coordinates of all 30 atoms:
Ba 0.000 0.000 0.250
Ba 0.000 0.000 0.750
Ba 0.333 0.667 0.088
Ba 0.333 0.667 0.412
Ba 0.667 0.333 0.588
Ba 0.667 0.333 0.912
Mg 0.000 0.000 0.000
Mg 0.000 0.000 0.500
Sb 0.333 0.667 0.651
Sb 0.333 0.667 0.849
Sb 0.667 0.333 0.151
Sb 0.667 0.333 0.349
O 0.034 0.517 0.750
O 0.168 0.336 0.583
O 0.168 0.336 0.917
O 0.168 0.832 0.583
O 0.168 0.832 0.917
O 0.336 0.168 0.083
O 0.336 0.168 0.417
O 0.483 0.517 0.750
O 0.483 0.966 0.750
O 0.517 0.034 0.250
O 0.517 0.483 0.250
O 0.664 0.832 0.583
O 0.664 0.832 0.917
O 0.832 0.168 0.083
O 0.832 0.168 0.417
O 0.832 0.664 0.083
O 0.832 0.664 0.417
O 0.966 0.483 0.250

crystal system: hexagonal
raw total energy: -19.478 eV/atom
ΔE_f (raw): -2529 meV/atom

No. 7
Below is a PBEsol-optimized structure of BaSrMgWO6, with properties calculated at the SCAN level.

a b c (Å): 5.664 5.664 5.664
angles (deg): 60.00 60.00 60.00
Fractional coordinates of all 10 atoms:
Ba 0.000 0.000 0.000
Sr 0.500 0.500 0.500
Mg 0.750 0.750 0.750
W 0.250 0.250 0.250
O 0.009 0.009 0.491
O 0.009 0.491 0.009
O 0.009 0.491 0.491
O 0.491 0.009 0.009
O 0.491 0.009 0.491
O 0.491 0.491 0.009

crystal system: cubic
raw total energy: -20.367 eV/atom
ΔE_f (raw): -2980 meV/atom

No. 8
Below is a PBEsol-optimized structure of Ba4MgTa10O30, with properties calculated at the SCAN level.

a b c (Å): 9.934 9.934 9.934
angles (deg): 133.75 118.01 80.73
Fractional coordinates of all 45 atoms:
Ba 0.000 0.000 0.000
Ba 0.010 0.510 0.500
Ba 0.406 0.406 0.000
Ba 0.420 0.920 0.500
Mg 0.686 0.186 0.500
Ta 0.018 0.084 0.434
Ta 0.018 0.584 0.934
Ta 0.210 0.460 0.249
Ta 0.210 0.961 0.751
Ta 0.396 0.333 0.565
Ta 0.396 0.831 0.063
Ta 0.651 0.084 0.066
Ta 0.651 0.584 0.566
Ta 0.768 0.333 0.937
Ta 0.768 0.831 0.435
O 0.004 0.839 0.164
O 0.054 0.357 0.697
O 0.176 0.036 0.600
O 0.176 0.576 0.140
O 0.192 0.692 0.500
O 0.216 0.195 0.485
O 0.216 0.731 0.021
O 0.229 0.229 0.000
O 0.247 0.338 0.352
O 0.247 0.895 0.909
O 0.384 0.588 0.796
O 0.436 0.036 0.860
O 0.436 0.576 0.400
O 0.440 0.080 0.361
O 0.544 0.328 0.783
O 0.544 0.761 0.217
O 0.578 0.000 0.152
O 0.578 0.426 0.579
O 0.660 0.357 0.303
O 0.675 0.839 0.836
O 0.710 0.195 0.979
O 0.710 0.731 0.515
O 0.719 0.080 0.639
O 0.792 0.588 0.204
O 0.847 0.000 0.421
O 0.847 0.426 0.848
O 0.882 0.147 0.265
O 0.882 0.617 0.735
O 0.986 0.338 0.091
O 0.986 0.895 0.648

crystal system: orthorhombic
raw total energy: -25.772 eV/atom
ΔE_f (raw): -3195 meV/atom

No. 9
Below is a PBEsol-optimized structure of Ba3MgTiWO9, with properties calculated at the SCAN level.

a b c (Å): 5.789 5.789 14.155
angles (deg): 90.00 90.00 120.00
Fractional coordinates of all 30 atoms:
Ba 0.000 0.000 0.000
Ba 0.000 0.000 0.500
Ba 0.333 0.667 0.163
Ba 0.333 0.667 0.854
Ba 0.667 0.333 0.354
Ba 0.667 0.333 0.663
Mg 0.000 0.000 0.257
Mg 0.000 0.000 0.757
Ti 0.333 0.667 0.399
Ti 0.667 0.333 0.899
W 0.333 0.667 0.599
W 0.667 0.333 0.099
O 0.033 0.516 0.509
O 0.171 0.341 0.339
O 0.171 0.829 0.339
O 0.173 0.346 0.670
O 0.173 0.827 0.670
O 0.341 0.171 0.839
O 0.346 0.173 0.170
O 0.484 0.516 0.509
O 0.484 0.967 0.509
O 0.516 0.033 0.009
O 0.516 0.484 0.009
O 0.654 0.827 0.670
O 0.659 0.829 0.339
O 0.827 0.173 0.170
O 0.827 0.654 0.170
O 0.829 0.171 0.839
O 0.829 0.659 0.839
O 0.967 0.484 0.009

crystal system: hexagonal
raw total energy: -20.803 eV/atom
ΔE_f (raw): -3108 meV/atom

No. 10
Below is a PBEsol-optimized structure of BaMg2V2O8, with properties calculated at the SCAN level.

a b c (Å): 9.731 9.731 9.731
angles (deg): 100.95 100.95 128.32
Fractional coordinates of all 52 atoms:
Ba 0.125 0.875 0.250
Ba 0.375 0.625 0.750
Ba 0.625 0.375 0.250
Ba 0.875 0.125 0.750
Mg 0.043 0.793 0.586
Mg 0.207 0.293 0.250
Mg 0.293 0.543 0.086
Mg 0.457 0.043 0.750
Mg 0.543 0.957 0.250
Mg 0.707 0.457 0.914
Mg 0.793 0.707 0.750
Mg 0.957 0.207 0.414
V 0.169 0.750 0.919
V 0.250 0.169 0.919
V 0.250 0.669 0.419
V 0.331 0.250 0.581
V 0.669 0.750 0.419
V 0.750 0.331 0.581
V 0.750 0.831 0.081
V 0.831 0.250 0.081
O 0.042 0.309 0.086
O 0.044 0.958 0.768
O 0.067 0.656 0.414
O 0.153 0.242 0.586
O 0.156 0.567 0.914
O 0.191 0.458 0.414
O 0.224 0.809 0.768
O 0.242 0.156 0.089
O 0.258 0.347 0.914
O 0.276 0.044 0.586
O 0.309 0.724 0.268
O 0.344 0.258 0.411
O 0.347 0.933 0.089
O 0.433 0.847 0.589
O 0.456 0.224 0.914
O 0.458 0.544 0.268
O 0.542 0.456 0.732
O 0.544 0.776 0.086
O 0.567 0.153 0.411
O 0.653 0.067 0.911
O 0.656 0.742 0.589
O 0.691 0.276 0.732
O 0.724 0.956 0.414
O 0.742 0.653 0.086
O 0.758 0.844 0.911
O 0.776 0.191 0.232
O 0.809 0.542 0.586
O 0.844 0.433 0.086
O 0.847 0.758 0.414
O 0.933 0.344 0.586
O 0.956 0.042 0.232
O 0.958 0.691 0.914

crystal system: tetragonal
raw total energy: -13.312 eV/atom
ΔE_f (raw): -2980 meV/atom

No. 11
Below is a PBEsol-optimized structure of BaMgV2ZnO8, with properties calculated at the SCAN level.

a b c (Å): 9.739 9.739 9.739
angles (deg): 128.64 100.76 100.89
Fractional coordinates of all 52 atoms:
Ba 0.250 0.125 0.374
Ba 0.250 0.625 0.875
Ba 0.750 0.375 0.125
Ba 0.750 0.875 0.626
Mg 0.248 0.204 0.792
Mg 0.412 0.456 0.208
Mg 0.748 0.956 0.044
Mg 0.912 0.704 0.956
V 0.079 0.079 0.000
V 0.080 0.499 0.080
V 0.418 0.918 0.500
V 0.419 0.000 0.920
V 0.579 0.579 0.000
V 0.580 0.500 0.582
V 0.918 0.418 0.500
V 0.919 0.999 0.418
Zn 0.084 0.790 0.542
Zn 0.248 0.542 0.458
Zn 0.584 0.042 0.294
Zn 0.748 0.290 0.706
O 0.083 0.024 0.793
O 0.083 0.557 0.290
O 0.084 0.900 0.991
O 0.085 0.683 0.094
O 0.088 0.403 0.491
O 0.089 0.183 0.597
O 0.231 0.290 0.207
O 0.232 0.439 0.026
O 0.267 0.793 0.710
O 0.267 0.972 0.558
O 0.409 0.400 0.816
O 0.410 0.509 0.597
O 0.413 0.009 0.099
O 0.413 0.205 0.974
O 0.413 0.903 0.315
O 0.414 0.708 0.442
O 0.583 0.293 0.525
O 0.583 0.790 0.059
O 0.584 0.593 0.184
O 0.585 0.492 0.403
O 0.588 0.098 0.685
O 0.589 0.992 0.906
O 0.731 0.524 0.941
O 0.732 0.705 0.792
O 0.767 0.057 0.475
O 0.767 0.208 0.294
O 0.909 0.093 0.009
O 0.910 0.313 0.901
O 0.913 0.598 0.509
O 0.913 0.813 0.403
O 0.913 0.939 0.208
O 0.914 0.472 0.706

crystal system: orthorhombic
raw total energy: -13.729 eV/atom
ΔE_f (raw): -2739 meV/atom

No. 12
Below is a PBEsol-optimized structure of BaMg2Os, with properties calculated at the SCAN level.

a b c (Å): 10.801 10.801 10.801
angles (deg): 16.51 16.51 16.51
Fractional coordinates of all 4 atoms:
Ba 0.000 0.000 0.000
Mg 0.231 0.231 0.231
Mg 0.769 0.769 0.769
Os 0.500 0.500 0.500

crystal system: trigonal
raw total energy: -29.748 eV/atom
energy of formation from the pure elements: 13.75 kcal/mol of atoms

No. 13
Below is a PBEsol-optimized structure of Ba2MgOs, with properties calculated at the SCAN level.

a b c (Å): 4.658 6.326 6.326
angles (deg): 43.73 90.00 90.00
Fractional coordinates of all 4 atoms:
Ba 0.000 0.000 0.000
Ba 0.500 0.283 0.283
Mg 0.500 0.591 0.591
Os 0.000 0.692 0.692

crystal system: orthorhombic
raw total energy: -38.538 eV/atom
energy of formation from the pure elements: 10.39 kcal/mol of atoms

No. 14
Below is a PBEsol-optimized structure of BaMg2Os, with properties calculated at the SCAN level.

a b c (Å): 6.265 6.265 6.265
angles (deg): 148.62 128.90 61.21
Fractional coordinates of all 4 atoms:
Ba 0.000 0.000 0.000
Mg 0.306 0.806 0.500
Mg 0.694 0.194 0.500
Os 0.500 0.500 0.000

crystal system: orthorhombic
raw total energy: -29.905 eV/atom
energy of formation from the pure elements: 10.13 kcal/mol of atoms